The following is a DFT calculation (PBE-GGA) of a geometry-optimized TaBeSb2 structure.

a b c (Å): 3.4336 3.4336 7.3202
angles (deg): 90.00 90.00 90.00
Sites, in units of the cell vectors:
Sb 0.0000 0.0000 0.9200
Sb 0.5000 0.5000 0.3384
Be 0.5000 0.5000 0.6970
Ta 0.0000 0.0000 0.5445

Summary:
raw total energy = -5.6712 eV/atom
E_form (uncorrected) = 27.5 kJ/mol of atoms
space group = No. 99